VASP calculation (GGA+U) on crystalline NbCrO4 at its relaxed geometry.

abc: 6.5762 6.7090 3.1006
angles: 90.00 90.00 90.00
With the nearest neighbours (Å) after each atom.
Space group Cmmm (No. 65)
Inequivalent atoms, fractional coordinates:
Nb 0.0000 0.0000 0.0000  6 O 1.99-2.03
Cr 0.0000 0.5000 0.5000  6 O 2.02-2.05
O 0.0000 0.1951 0.5000  2 Nb 2.03, 1 Cr 2.05
O 0.1970 0.5000 0.0000  1 Nb 1.99, 2 Cr 2.02

Calculated values
**Calculated density**: 5.07 g/cm3
**E**: -0.626 Ry/atom